Record 1
A relaxed structure of BaRe2Cl. Source: Alexandria, functional GGA-PBE.

Summary:
- Offset from the most stable computed form: 4.55 eV per formula unit
- E_form (uncorrected): 483 kJ/mol of formula units
- N(E_F): 3.936 states/eV per cell
- Total magnetization: 0.00 μB/cell

Structure (POSCAR):
```
BaRe2Cl
1.0
0.000 3.449 3.449
3.449 0.000 3.449
3.449 3.449 0.000
Ba Re Cl
1 2 1
Direct
0.000 0.000 0.000 Ba
0.500 0.500 0.500 Re
0.750 0.750 0.750 Re
0.250 0.250 0.250 Cl
```

Record 2
A relaxed structure of SbC3I. Source: Alexandria, functional GGA-PBE.

Summary:
- Offset from the most stable computed form: 1.28 eV per formula unit
- E_form (uncorrected): 1532 kJ/mol of formula units
- N(E_F): 3.785 states/eV per cell
- Total magnetization: 0.00 μB/cell

Structure (POSCAR):
```
SbC3I
1.0
4.196 0.000 0.000
0.000 4.196 0.000
0.000 0.000 4.196
Sb C I
1 3 1
Direct
0.000 0.000 0.000 Sb
0.000 0.500 0.500 C
0.500 0.000 0.500 C
0.500 0.500 0.000 C
0.500 0.500 0.500 I
```

Record 3
A relaxed structure of W2CSe. Source: Alexandria, functional GGA-PBE.

Summary:
- Offset from the most stable computed form: 0.00 eV per formula unit
- E_form (uncorrected): 268 kJ/mol of formula units
- N(E_F): 5.608 states/eV per cell
- Total magnetization: 0.00 μB/cell

Structure (POSCAR):
```
W2CSe
1.0
-2.336 2.336 6.216
2.336 -2.336 6.216
2.336 2.336 -6.216
W C Se
4 2 2
Direct
0.028 0.625 0.903 W
0.375 0.278 0.403 W
0.722 0.125 0.097 W
0.875 0.972 0.597 W
0.000 0.000 0.000 C
0.750 0.250 0.500 C
0.250 0.750 0.500 Se
0.500 0.500 0.000 Se
```

Record 4
A relaxed structure of TaW. Source: Alexandria, functional GGA-PBE.

Summary:
- E_form: -0.2 eV/f.u.
- N(E_F): 2.169 states/eV per cell
- Total magnetization: 0.00 μB/cell

Structure (POSCAR):
```
TaW
1.0
0.000 3.239 3.239
3.239 0.000 3.239
3.239 3.239 0.000
Ta W
2 2
Direct
0.125 0.125 0.125 Ta
0.875 0.875 0.875 Ta
0.375 0.375 0.375 W
0.625 0.625 0.625 W
```

Record 5
A relaxed structure of BeSb2Mo2. Source: Alexandria, functional GGA-PBE.

Summary:
- Offset from the most stable computed form: 0.00 eV per formula unit
- E_form (uncorrected): 323 kJ/mol of formula units
- N(E_F): 2.176 states/eV per cell
- Total magnetization: 0.00 μB/cell

Structure (POSCAR):
```
BeSb2Mo2
1.0
-1.831 1.831 7.942
1.831 -1.831 7.942
1.831 1.831 -7.942
Be Sb Mo
1 2 2
Direct
0.000 0.000 0.000 Be
0.390 0.390 0.000 Sb
0.610 0.610 0.000 Sb
0.250 0.750 0.500 Mo
0.750 0.250 0.500 Mo
```

Record 6
A relaxed structure of ZrIn2Os. Source: Alexandria, functional GGA-PBE.

Summary:
- E_form: -0.2 eV/f.u.
- N(E_F): 0.958 states/eV per cell
- Total magnetization: 0.00 μB/cell

Structure (POSCAR):
```
ZrIn2Os
1.0
3.275 0.000 0.000
0.000 3.275 0.000
0.000 0.000 7.731
Zr In Os
1 2 1
Direct
0.000 0.000 0.000 Zr
0.000 0.000 0.579 In
0.500 0.500 0.284 In
0.500 0.500 0.802 Os
```

What is the total magnetization in the fourth record? 0.00 μB/cell

Number 1 is which compound? BaRe2Cl